The following is a PBE+U calculation of crystalline CrCI2O at its relaxed geometry, from Alexandria via LeMat-Bulk.

a b c (Å): 5.446 5.446 3.575
angles (deg): 90.00 90.00 90.00
Fractional positions:
I (0.500, 0.000, 0.000)
I (0.000, 0.500, 0.000)
C (0.500, 0.500, 0.500)
O (0.000, 0.000, 0.500)
Cr (0.000, 0.000, 0.000)

Calculated values
Space-group type ... P4/mmm (123)
Calculated volume ... 21.2 A^3/atom
Offset from the most stable computed form ... 0.0 meV/atom
Total magnetic moment ... 1.10 μB/f.u.